A plane-wave DFT calculation with GGA-PBE was carried out for crystalline CrSe2Br at its relaxed geometry.

Cell: 5.0840 9.0156 4.2381 Å, 90.00 90.00 90.00°
Positions (direct):
Cr1 0.0000 0.0000 0.0000
Cr2 0.5000 0.5000 0.0000
Se1 0.2500 0.2500 0.5000
Se2 0.2500 0.7500 0.5000
Se3 0.7500 0.2500 0.5000
Se4 0.7500 0.7500 0.5000
Br1 0.0000 0.5000 0.0000
Br2 0.5000 0.0000 0.0000

Properties
Relative energy among the computed polymorphs in eV per atom: 0.728
VASP energy in eV per atom: -4.204
Formation energy from raw total energies in eV/atom: 0.363